Record 1
Computed, not measured: a crystal of Cr2Au relaxed with PBEsol at the SCAN level of DFT.

Values from the calculation:
**Raw total energy**: -34.977 eV per atom
**Magnetization**: 0.0 μB per formula unit
**Crystal system**: trigonal
**Energy relative to the elements**: 1.0 eV/f.u.
**Calculated volume**: 41.4 Å³/cell

Cell: 2.8083 2.8083 6.0625 Å, 90.00 90.00 120.00°
Space group P-3m1 (No. 164)
Asymmetric unit:
Cr 0.3333 0.6667 0.3781 [2 per cell]
Au 0.0000 0.0000 0.0000 [1 per cell]

Record 2
Computed, not measured: a crystal of KBa2Se relaxed with PBEsol at the SCAN level of DFT.

Values from the calculation:
**Raw total energy**: -27.832 eV per atom
**Magnetization**: 0.0 μB per formula unit
**Crystal system**: tetragonal
**Formation energy from raw total energies**: -0.955 eV/atom
**Calculated volume**: 232.2 Å³/cell

Cell: 4.4932 4.4932 11.5010 Å, 90.00 90.00 90.00°
Space group P4mm (No. 99)
Asymmetric unit:
K 0.0000 0.0000 0.0000 [1 per cell]
Ba 0.0000 0.0000 0.4022 [1 per cell]
Ba 0.5000 0.5000 0.7060 [1 per cell]
Se 0.5000 0.5000 0.4349 [1 per cell]

Record 3
Computed, not measured: a crystal of NiTe2F relaxed with PBEsol at the SCAN level of DFT.

Values from the calculation:
**Raw total energy**: -23.892 eV per atom
**Magnetization**: 0.0 μB per formula unit
**Crystal system**: tetragonal
**Formation energy from raw total energies**: -0.339 eV/atom
**Calculated volume**: 354.0 Å³/cell

Cell: 5.1752 5.1752 13.2161 Å, 90.00 90.00 90.00°
Space group I-42d (No. 122)
Asymmetric unit:
Ni 0.0000 0.0000 0.0000 [4 per cell]
Te 0.2178 0.2500 0.1250 [8 per cell]
F 0.0000 0.0000 0.5000 [4 per cell]

Record 4
Computed, not measured: a crystal of FeNiO3 relaxed with PBEsol at the SCAN level of DFT.

Values from the calculation:
**Raw total energy**: -12.046 eV per atom
**Magnetization**: 0.0 μB per formula unit
**Crystal system**: trigonal
**Formation energy from raw total energies**: -1.446 eV/atom
**Calculated volume**: 259.8 Å³/cell

Cell: 4.7773 4.7773 13.1447 Å, 90.00 90.00 120.00°
Space group R-3 (No. 148, hexagonal axes)
Asymmetric unit:
Fe 0.0000 0.0000 0.1533 [6 per cell]
Ni 0.0000 0.0000 0.3526 [6 per cell]
O 0.0106 0.6994 0.7533 [18 per cell]

Record 5
Computed, not measured: a crystal of Ba2LaInSi relaxed with PBEsol at the SCAN level of DFT.

Values from the calculation:
**Raw total energy**: -33.232 eV per atom
**Magnetization**: 0.0 μB per formula unit
**Crystal system**: tetragonal
**Formation energy from raw total energies**: -0.111 eV/atom
**Calculated volume**: 217.9 Å³/cell

Cell: 6.2318 6.2318 5.6102 Å, 90.00 90.00 90.00°
Space group P4/mmm (No. 123)
Asymmetric unit:
Ba 0.0000 0.5000 0.0000 [2 per cell]
La 0.0000 0.0000 0.5000 [1 per cell]
In 0.5000 0.5000 0.5000 [1 per cell]
Si 0.0000 0.0000 0.0000 [1 per cell]

Record 6
Computed, not measured: a crystal of Li4Cu3SnP4O16 relaxed with PBEsol at the SCAN level of DFT.

Values from the calculation:
**Raw total energy**: -10.366 eV per atom
**Magnetization**: 1.0 μB per formula unit
**Crystal system**: monoclinic
**Formation energy from raw total energies**: -2.067 eV/atom
**Calculated volume**: 298.2 Å³/cell

Cell: 4.7707 5.9230 10.5691 Å, 90.00 93.28 90.00°
Space group Pm (No. 6)
Asymmetric unit:
Li 0.0000 0.2370 0.0000 [2 per cell]
Li 0.4736 0.2380 0.5567 [2 per cell]
Cu 0.0099 0.0000 0.3428 [1 per cell]
Cu 0.4755 0.0000 0.8087 [1 per cell]
Cu 0.9861 0.5000 0.7446 [1 per cell]
Sn 0.5042 0.5000 0.2301 [1 per cell]
P 0.0905 0.5000 0.4087 [1 per cell]
P 0.4151 0.5000 0.9240 [1 per cell]
P 0.5718 0.0000 0.1046 [1 per cell]
P 0.9101 0.0000 0.6253 [1 per cell]
O 0.2125 0.5000 0.5445 [1 per cell]
O 0.2171 0.2968 0.3327 [2 per cell]
O 0.2336 0.0000 0.6261 [1 per cell]
O 0.2554 0.0000 0.0949 [1 per cell]
O 0.2754 0.5000 0.0595 [1 per cell]
O 0.2780 0.2936 0.8540 [2 per cell]
O 0.7032 0.2088 0.1812 [2 per cell]
O 0.7119 0.0000 0.9764 [1 per cell]
O 0.7315 0.5000 0.9431 [1 per cell]
O 0.7668 0.5000 0.3979 [1 per cell]
O 0.7688 0.0000 0.4882 [1 per cell]
O 0.7880 0.2124 0.6906 [2 per cell]

Record 7
Computed, not measured: a crystal of Fe2CoSi relaxed with PBEsol at the SCAN level of DFT.

Values from the calculation:
**Raw total energy**: -16.067 eV per atom
**Magnetization**: 5.9 μB per formula unit
**Crystal system**: orthorhombic
**Formation energy from raw total energies**: -0.172 eV/atom
**Calculated volume**: 42.6 Å³/cell

Cell: 2.5193 3.5236 4.7995 Å, 90.00 90.00 90.00°
Space group Pmmm (No. 47)
Asymmetric unit:
Fe 0.0000 0.0000 0.2492 [2 per cell]
Co 0.5000 0.5000 0.5000 [1 per cell]
Si 0.5000 0.5000 0.0000 [1 per cell]

Record 8
Computed, not measured: a crystal of Li2ZrTa relaxed with PBEsol at the SCAN level of DFT.

Values from the calculation:
**Raw total energy**: -25.085 eV per atom
**Magnetization**: 0.0 μB per formula unit
**Crystal system**: orthorhombic
**Distance to the lowest polymorph of the same formula**: 0.055 eV per atom
**Energy relative to the elements**: 1.7 eV/f.u.
**Calculated volume**: 135.8 Å³/cell

Cell: 2.8510 5.1037 9.3304 Å, 90.00 90.00 90.00°
Space group Imm2 (No. 44)
Asymmetric unit:
Li 0.0000 0.0000 0.0000 [2 per cell]
Li 0.0000 0.5000 0.2949 [2 per cell]
Zr 0.0000 0.0000 0.5272 [2 per cell]
Ta 0.0000 0.5000 0.7642 [2 per cell]

Record 9
Computed, not measured: a crystal of Ba3V4O13 relaxed with PBEsol at the SCAN level of DFT.

Values from the calculation:
**Raw total energy**: -16.432 eV per atom
**Magnetization**: 0.0 μB per formula unit
**Crystal system**: monoclinic
**Formation energy from raw total energies**: -2.951 eV/atom
**Calculated volume**: 1340.9 Å³/cell

Cell: 15.8680 8.8343 10.2289 Å, 90.00 110.75 90.00°
Space group C2/c (No. 15)
Asymmetric unit:
Ba 0.0000 0.0964 0.2500 [4 per cell]
Ba 0.2023 0.1737 0.6881 [8 per cell]
V 0.0898 0.1944 0.9969 [8 per cell]
V 0.1101 0.4734 0.3631 [8 per cell]
O 0.0000 0.4170 0.2500 [4 per cell]
O 0.0205 0.1571 0.5447 [8 per cell]
O 0.1077 0.3962 0.9908 [8 per cell]
O 0.1293 0.0992 0.8873 [8 per cell]
O 0.1442 0.1382 0.1639 [8 per cell]
O 0.1622 0.3147 0.4350 [8 per cell]
O 0.1672 0.4545 0.7703 [8 per cell]

Record 10
Computed, not measured: a crystal of ScGeAs3 relaxed with PBEsol at the SCAN level of DFT.

Values from the calculation:
**Raw total energy**: -18.381 eV per atom
**Magnetization**: 0.0 μB per formula unit
**Crystal system**: cubic
**Energy relative to the elements**: 2.0 eV/f.u.
**Calculated volume**: 112.5 Å³/cell

Cell: 4.8274 4.8274 4.8274 Å, 90.00 90.00 90.00°
Space group Pm-3m (No. 221)
Asymmetric unit:
Sc 0.0000 0.0000 0.0000 [1 per cell]
Ge 0.5000 0.5000 0.5000 [1 per cell]
As 0.0000 0.5000 0.5000 [3 per cell]

Record 11
Computed, not measured: a crystal of ErCuS2 relaxed with PBEsol at the SCAN level of DFT.

Values from the calculation:
**Raw total energy**: -22.768 eV per atom
**Magnetization**: 0.0 μB per formula unit
**Crystal system**: orthorhombic
**Formation energy from raw total energies**: -1.569 eV/atom
**Calculated volume**: 311.2 Å³/cell

Cell: 3.8623 6.1393 13.1241 Å, 90.00 90.00 90.00°
Space group P2_12_12_1 (No. 19)
Asymmetric unit:
Er 0.2490 0.2453 0.1323 [4 per cell]
Cu 0.2494 0.6207 0.9574 [4 per cell]
S 0.2491 0.0020 0.9578 [4 per cell]
S 0.2490 0.4942 0.7948 [4 per cell]

Record 12
Computed, not measured: a crystal of BiOsSe2 relaxed with PBEsol at the SCAN level of DFT.

Values from the calculation:
**Raw total energy**: -46.938 eV per atom
**Magnetization**: 0.0 μB per formula unit
**Crystal system**: trigonal
**Formation energy from raw total energies**: 0.716 eV/atom
**Calculated volume**: 267.8 Å³/cell

Cell: 2.9823 2.9823 34.7697 Å, 90.00 90.00 120.00°
Space group R-3m (No. 166, hexagonal axes)
Asymmetric unit:
Bi 0.0000 0.0000 0.0000 [3 per cell]
Os 0.0000 0.0000 0.5000 [3 per cell]
Se 0.0000 0.0000 0.4324 [6 per cell]